Record 1
Below is TlSnRu3 after structural relaxation, with properties calculated at the PBE level.

Properties
Calculated formation energy in eV/atom: 1.570
Excess energy over the best structure of this formula in the dataset in eV per atom: 0.000
E in eV per cell: -26.3
V in Å³/atom: 23.2
M_tot in μB/atom: 0.6029

Lattice parameters (Å, degrees): 4.8756 4.8756 4.8756 90.00 90.00 90.00
Element x y z (fractional)
Tl 0.0000 0.0000 0.0000
Sn 0.5000 0.5000 0.5000
Ru 0.0000 0.5000 0.5000
Ru 0.5000 0.0000 0.5000
Ru 0.5000 0.5000 0.0000

***

Record 2
Below is InS3N after structural relaxation, with properties calculated at the PBE level.

Properties
Excess energy over the best structure of this formula in the dataset in eV per atom: 0.000
E in eV per cell: -19.0
V in Å³/atom: 15.4
Uncorrected formation energy in meV per atom: 891.1
M_tot in μB/atom: 0.0000

Lattice parameters (Å, degrees): 4.2583 4.2583 4.2583 90.00 90.00 90.00
Element x y z (fractional)
In 0.0000 0.0000 0.0000
S 0.0000 0.5000 0.5000
S 0.5000 0.0000 0.5000
S 0.5000 0.5000 0.0000
N 0.5000 0.5000 0.5000

***

Record 3
Below is Ca2LaInTe4 after structural relaxation, with properties calculated at the PBE level.

Properties
E in eV per cell: -34.8
V in Å³/atom: 34.7
Uncorrected formation energy in meV per atom: -1315.6
M_tot in μB/atom: 0.0000

Lattice parameters (Å, degrees): 7.8504 4.6085 8.1103 90.00 108.79 90.00
Element x y z (fractional)
Ca 0.0000 0.0000 0.0000
Ca 0.0000 0.5000 0.5000
La 0.5000 0.0000 0.5000
In 0.5000 0.5000 0.0000
Te 0.2395 0.0000 0.7357
Te 0.2455 0.5000 0.2540
Te 0.7545 0.5000 0.7460
Te 0.7605 0.0000 0.2643

***

Record 4
Below is Tc2SbPd after structural relaxation, with properties calculated at the PBE level.

Properties
E in eV per cell: -50.0
V in Å³/atom: 24.3
Uncorrected formation energy in meV per atom: 1267.0
M_tot in μB/atom: 0.0002

Lattice parameters (Å, degrees): 6.9394 6.9394 6.9394 129.49 129.49 74.22
Element x y z (fractional)
Tc 0.0988 0.6250 0.9738
Tc 0.3750 0.3488 0.4738
Tc 0.6512 0.1250 0.0262
Tc 0.8750 0.9012 0.5262
Sb 0.2500 0.7500 0.5000
Sb 0.5000 0.5000 0.0000
Pd 0.0000 0.0000 0.0000
Pd 0.7500 0.2500 0.5000

***

Record 5
Below is LiScCo after structural relaxation, with properties calculated at the PBE level.

Properties
Calculated formation energy in eV/atom: 0.226
Excess energy over the best structure of this formula in the dataset in eV per atom: 0.204
E in eV per cell: -14.7
V in Å³/atom: 17.4
M_tot in μB/atom: 0.1907

Lattice parameters (Å, degrees): 3.0806 3.0806 6.3508 90.00 90.00 120.00
Element x y z (fractional)
Li 0.0000 0.0000 0.0000
Sc 0.6667 0.3333 0.4288
Co 0.3333 0.6667 0.7029

***

Record 6
Below is Tb2Y5Tl4 after structural relaxation, with properties calculated at the PBE level.

Properties
Calculated formation energy in eV/atom: 0.327
E in eV per cell: -47.5
V in Å³/atom: 39.8
M_tot in μB/atom: 0.0000

Lattice parameters (Å, degrees): 15.3088 15.3088 15.3088 166.92 147.34 35.32
Element x y z (fractional)
Tb 0.0959 0.0959 0.0000
Tb 0.9041 0.9041 0.0000
Y 0.0005 0.1999 0.8006
Y 0.0000 0.5000 0.5000
Y 0.9995 0.8001 0.1994
Y 0.3993 0.1999 0.1994
Y 0.6007 0.8001 0.8006
Tl 0.2979 0.2979 0.0000
Tl 0.3186 0.0000 0.3186
Tl 0.6814 0.0000 0.6814
Tl 0.7021 0.7021 0.0000

***

Record 7
Below is CaNd2Ga4 after structural relaxation, with properties calculated at the PBE level.

Properties
Calculated formation energy in eV/atom: -0.543
E in eV per cell: -27.4
V in Å³/atom: 25.3
M_tot in μB/atom: 0.0491

Lattice parameters (Å, degrees): 9.8477 9.8477 9.8477 155.34 153.62 36.42
Element x y z (fractional)
Ca 0.0000 0.0000 0.0000
Nd 0.1839 0.6839 0.5000
Nd 0.8161 0.3161 0.5000
Ga 0.3552 0.8552 0.5000
Ga 0.4342 0.4342 0.0000
Ga 0.5658 0.5658 0.0000
Ga 0.6448 0.1448 0.5000

***

Record 8
Below is Bi4SbPb15 after structural relaxation, with properties calculated at the PBE level.

Properties
E in eV per cell: -75.0
V in Å³/atom: 31.7
Uncorrected formation energy in meV per atom: 15.8
M_tot in μB/atom: 0.0000

Lattice parameters (Å, degrees): 5.1027 5.1027 24.3159 90.00 90.00 90.00
Element x y z (fractional)
Bi 0.0000 0.0000 0.1011
Bi 0.0000 0.0000 0.3025
Bi 0.0000 0.0000 0.6975
Bi 0.0000 0.0000 0.8989
Sb 0.0000 0.0000 0.5000
Pb 0.0000 0.5000 0.0000
Pb 0.0000 0.5000 0.2012
Pb 0.0000 0.5000 0.4024
Pb 0.0000 0.5000 0.5976
Pb 0.0000 0.5000 0.7988
Pb 0.5000 0.0000 0.0000
Pb 0.5000 0.0000 0.2012
Pb 0.5000 0.0000 0.4024
Pb 0.5000 0.0000 0.5976
Pb 0.5000 0.0000 0.7988
Pb 0.5000 0.5000 0.1002
Pb 0.5000 0.5000 0.3008
Pb 0.5000 0.5000 0.5000
Pb 0.5000 0.5000 0.6992
Pb 0.5000 0.5000 0.8998